(1)
DFT (PBE) results for crystalline SrDyF4 at its relaxed geometry.

Results
Uncorrected energy: -5.87 eV/atom

Lattice parameters (Å, degrees): 6.7192 6.7192 6.7192 110.58 110.58 107.27
With the nearest neighbours (Å) after each atom.
Fractional positions:
Sr (0.0000, 0.0000, 0.0000)  4 F 2.45-2.62
Sr (0.7500, 0.2500, 0.5000)  4 F 2.45-2.62
Dy (0.2411, 0.7411, 0.5000)  6 F 2.19-2.29
Dy (0.4911, 0.4911, 0.0000)  6 F 2.19-2.29
F (0.0282, 0.3464, 0.3183)  1 Dy 2.19, 1 Sr 2.45
F (0.0282, 0.7099, 0.6817)  1 Dy 2.19, 1 Sr 2.45
F (0.0964, 0.2782, 0.8183)  1 Dy 2.19, 1 Sr 2.45
F (0.4436, 0.1488, 0.7052)  2 Dy 2.25-2.29
F (0.4436, 0.7384, 0.2948)  2 Dy 2.25-2.29
F (0.4599, 0.2782, 0.1817)  1 Dy 2.19, 1 Sr 2.45
F (0.4884, 0.6936, 0.7948)  2 Dy 2.25-2.29
F (0.8988, 0.6936, 0.2052)  2 Dy 2.25-2.29


(2)
DFT (PBE) results for crystalline Pm2PuTc2N6 at its relaxed geometry.

Results
Uncorrected energy: -9.20 eV/atom

Lattice parameters (Å, degrees): 6.6985 6.6985 6.6985 50.95 50.95 50.95
With the nearest neighbours (Å) after each atom.
Fractional positions:
Pm (0.2076, 0.2076, 0.2076)  3 N 2.52
Pm (0.7924, 0.7924, 0.7924)  3 N 2.52
Pu (0.0000, 0.0000, 0.0000)  6 N 2.30
Tc (0.3984, 0.3984, 0.3984)  3 N 1.82
Tc (0.6016, 0.6016, 0.6016)  3 N 1.82
N (0.2232, 0.7454, 0.7454)  1 Tc 1.82
N (0.2546, 0.2546, 0.7768)  1 Tc 1.82
N (0.2546, 0.7768, 0.2546)  1 Tc 1.82
N (0.7454, 0.2232, 0.7454)  1 Tc 1.82
N (0.7454, 0.7454, 0.2232)  1 Tc 1.82
N (0.7768, 0.2546, 0.2546)  1 Tc 1.82